1.
Density functional theory data (PBE) for a geometry-optimized SrNiIr2 structure.

Output
DOS at the Fermi energy, states/eV/atom: 1.398
V, Å³/f.u.: 71.5
VASP energy, eV per atom: -5.9763
Crystal system: monoclinic

Geometry as CIF:
```
data_SrNiIr2
_cell_length_a 2.852
_cell_length_b 4.435
_cell_length_c 5.794
_cell_angle_alpha 90.00
_cell_angle_beta 102.74
_cell_angle_gamma 90.00
_symmetry_space_group_name_H-M 'P 1 2/m 1'
_symmetry_Int_Tables_number 10
_symmetry_space_group_name_Hall '-P 2y'
loop_
_atom_site_label
_atom_site_type_symbol
_atom_site_fract_x
_atom_site_fract_y
_atom_site_fract_z
_atom_site_occupancy
Sr1 Sr 0.000 0.000 0.000 1
Ni1 Ni 0.500 0.000 0.500 1
Ir1 Ir 0.333 0.500 0.691 1
```



2.
Density functional theory data (PBE) for a geometry-optimized CaMn2Se structure.

Output
DOS at the Fermi energy, states/eV/atom: 1.463
V, Å³/f.u.: 76.6
VASP energy, eV per atom: -5.8729
Energy relative to the elements, uncorrected, eV/atom: 0.083
Crystal system: trigonal

Geometry as CIF:
```
data_CaMn2Se
_cell_length_a 4.0966
_cell_length_b 4.0966
_cell_length_c 15.8060
_cell_angle_alpha 90.00
_cell_angle_beta 90.00
_cell_angle_gamma 120.00
_symmetry_space_group_name_H-M 'R -3 m'
_symmetry_Int_Tables_number 166
_symmetry_space_group_name_Hall '-R 3 2"'
loop_
_atom_site_label
_atom_site_type_symbol
_atom_site_fract_x
_atom_site_fract_y
_atom_site_fract_z
_atom_site_occupancy
Ca1 Ca 0.0000 0.0000 0.0000 1
Mn1 Mn 0.0000 0.0000 0.1817 1
Se1 Se 0.0000 0.0000 0.5000 1
```



3.
Density functional theory data (PBE) for a geometry-optimized Ho4As3P structure.

Output
DOS at the Fermi energy, states/eV/atom: 0.095
V, Å³/f.u.: 190.9
VASP energy, eV per atom: -6.2565
Crystal system: monoclinic

Geometry as CIF:
```
data_Ho4As3P
_cell_length_a 7.051
_cell_length_b 8.151
_cell_length_c 7.049
_cell_angle_alpha 90.00
_cell_angle_beta 109.51
_cell_angle_gamma 90.00
_symmetry_space_group_name_H-M 'P 1 2/c 1'
_symmetry_Int_Tables_number 13
_symmetry_space_group_name_Hall '-P 2yc'
loop_
_atom_site_label
_atom_site_type_symbol
_atom_site_fract_x
_atom_site_fract_y
_atom_site_fract_z
_atom_site_occupancy
Ho1 Ho 0.245 0.122 0.001 1
Ho2 Ho 0.248 0.372 0.497 1
As1 As 0.000 0.375 0.750 1
As2 As 0.500 0.125 0.750 1
As3 As 0.500 0.375 0.250 1
P1 P 0.000 0.124 0.250 1
```



4.
Density functional theory data (PBE) for a geometry-optimized CaCrIn2 structure.

Output
DOS at the Fermi energy, states/eV/atom: 0.635
V, Å³/f.u.: 104.9
VASP energy, eV per atom: -3.9416
Crystal system: trigonal

Geometry as CIF:
```
data_CaCrIn2
_cell_length_a 3.4864
_cell_length_b 3.4864
_cell_length_c 29.9022
_cell_angle_alpha 90.00
_cell_angle_beta 90.00
_cell_angle_gamma 120.00
_symmetry_space_group_name_H-M 'R 3 m'
_symmetry_Int_Tables_number 160
_symmetry_space_group_name_Hall 'R 3 -2"'
loop_
_atom_site_label
_atom_site_type_symbol
_atom_site_fract_x
_atom_site_fract_y
_atom_site_fract_z
_atom_site_occupancy
Ca1 Ca 0.0000 0.0000 0.0000 1
Cr1 Cr 0.0000 0.0000 0.7529 1
In1 In 0.0000 0.0000 0.2427 1
In2 In 0.0000 0.0000 0.4922 1
```



5.
Density functional theory data (PBE) for a geometry-optimized Pr3Dy6Y2Mg structure.

Output
DOS at the Fermi energy, states/eV/atom: 1.501
V, Å³/f.u.: 386.4
VASP energy, eV per atom: -4.6724
Crystal system: monoclinic

Geometry as CIF:
```
data_Pr3Dy6Y2Mg
_cell_length_a 6.195
_cell_length_b 10.742
_cell_length_c 11.798
_cell_angle_alpha 90.00
_cell_angle_beta 100.17
_cell_angle_gamma 90.00
_symmetry_space_group_name_H-M 'C 1 2/m 1'
_symmetry_Int_Tables_number 12
_symmetry_space_group_name_Hall '-C 2y'
loop_
_atom_site_label
_atom_site_type_symbol
_atom_site_fract_x
_atom_site_fract_y
_atom_site_fract_z
_atom_site_occupancy
Pr1 Pr 0.000 0.000 0.000 1
Pr2 Pr 0.000 0.334 0.000 1
Dy1 Dy 0.246 0.334 0.745 1
Dy2 Dy 0.248 0.000 0.745 1
Y1 Y 0.000 0.166 0.500 1
Mg1 Mg 0.000 0.500 0.500 1
```



6.
Density functional theory data (PBE) for a geometry-optimized Os3SeCl structure.

Output
DOS at the Fermi energy, states/eV/atom: 0.986
V, Å³/f.u.: 100.1
VASP energy, eV per atom: -5.5867
Energy relative to the elements, uncorrected, eV/atom: 2.217
Crystal system: cubic

Geometry as CIF:
```
data_Os3SeCl
_cell_length_a 4.643
_cell_length_b 4.643
_cell_length_c 4.643
_cell_angle_alpha 90.00
_cell_angle_beta 90.00
_cell_angle_gamma 90.00
_symmetry_space_group_name_H-M 'P m -3 m'
_symmetry_Int_Tables_number 221
_symmetry_space_group_name_Hall '-P 4 2 3'
loop_
_atom_site_label
_atom_site_type_symbol
_atom_site_fract_x
_atom_site_fract_y
_atom_site_fract_z
_atom_site_occupancy
Os1 Os 0.000 0.000 0.500 1
Se1 Se 0.000 0.000 0.000 1
Cl1 Cl 0.500 0.500 0.500 1
```



7.
Density functional theory data (PBE) for a geometry-optimized La2TiAs3Ir4 structure.

Output
DOS at the Fermi energy, states/eV/atom: 0.658
V, Å³/f.u.: 189.4
VASP energy, eV per atom: -7.5541
Crystal system: tetragonal

Geometry as CIF:
```
data_La2TiAs3Ir4
_cell_length_a 4.192
_cell_length_b 4.192
_cell_length_c 10.778
_cell_angle_alpha 90.00
_cell_angle_beta 90.00
_cell_angle_gamma 90.00
_symmetry_space_group_name_H-M 'P -4 m 2'
_symmetry_Int_Tables_number 115
_symmetry_space_group_name_Hall 'P -4 -2'
loop_
_atom_site_label
_atom_site_type_symbol
_atom_site_fract_x
_atom_site_fract_y
_atom_site_fract_z
_atom_site_occupancy
La1 La 0.000 0.500 0.243 1
Ti1 Ti 0.000 0.000 0.500 1
As1 As 0.000 0.500 0.865 1
As2 As 0.500 0.500 0.500 1
Ir1 Ir 0.000 0.000 0.000 1
Ir2 Ir 0.000 0.500 0.635 1
Ir3 Ir 0.500 0.500 0.000 1
```



8.
Density functional theory data (PBE) for a geometry-optimized ErHfCuPd structure.

Output
DOS at the Fermi energy, states/eV/atom: 0.621
V, Å³/f.u.: 76.7
VASP energy, eV per atom: -6.3703
Crystal system: cubic

Geometry as CIF:
```
data_ErHfCuPd
_cell_length_a 6.745
_cell_length_b 6.745
_cell_length_c 6.745
_cell_angle_alpha 90.00
_cell_angle_beta 90.00
_cell_angle_gamma 90.00
_symmetry_space_group_name_H-M 'F -4 3 m'
_symmetry_Int_Tables_number 216
_symmetry_space_group_name_Hall 'F -4 2 3'
loop_
_atom_site_label
_atom_site_type_symbol
_atom_site_fract_x
_atom_site_fract_y
_atom_site_fract_z
_atom_site_occupancy
Er1 Er 0.000 0.000 0.000 1
Hf1 Hf 0.000 0.000 0.500 1
Cu1 Cu 0.250 0.250 0.250 1
Pd1 Pd 0.250 0.250 0.750 1
```



9.
Density functional theory data (PBE) for a geometry-optimized Ac3PrHg2N structure.

Output
DOS at the Fermi energy, states/eV/atom: 0.566
V, Å³/f.u.: 221.6
VASP energy, eV per atom: -4.3222
Energy relative to the elements, uncorrected, eV/atom: -0.603
Crystal system: orthorhombic

Geometry as CIF:
```
data_Ac3PrHg2N
_cell_length_a 5.219
_cell_length_b 5.329
_cell_length_c 15.934
_cell_angle_alpha 90.00
_cell_angle_beta 90.00
_cell_angle_gamma 90.00
_symmetry_space_group_name_H-M 'I m m m'
_symmetry_Int_Tables_number 71
_symmetry_space_group_name_Hall '-I 2 2'
loop_
_atom_site_label
_atom_site_type_symbol
_atom_site_fract_x
_atom_site_fract_y
_atom_site_fract_z
_atom_site_occupancy
Ac1 Ac 0.000 0.000 0.000 1
Ac2 Ac 0.000 0.500 0.170 1
Pr1 Pr 0.000 0.000 0.500 1
Hg1 Hg 0.000 0.500 0.373 1
N1 N 0.000 0.500 0.000 1
```



10.
Density functional theory data (PBE) for a geometry-optimized BiSbTe structure.

Output
DOS at the Fermi energy, states/eV/atom: 0.624
V, Å³/f.u.: 99.7
VASP energy, eV per atom: -3.5363
Energy relative to the elements, uncorrected, eV/atom: 0.179
Crystal system: orthorhombic

Geometry as CIF:
```
data_BiSbTe
_cell_length_a 5.875
_cell_length_b 11.226
_cell_length_c 6.047
_cell_angle_alpha 90.00
_cell_angle_beta 90.00
_cell_angle_gamma 90.00
_symmetry_space_group_name_H-M 'C m c m'
_symmetry_Int_Tables_number 63
_symmetry_space_group_name_Hall '-C 2c 2'
loop_
_atom_site_label
_atom_site_type_symbol
_atom_site_fract_x
_atom_site_fract_y
_atom_site_fract_z
_atom_site_occupancy
Bi1 Bi 0.000 0.247 0.250 1
Sb1 Sb 0.000 0.500 0.000 1
Te1 Te 0.000 0.144 0.750 1
```



11.
Density functional theory data (PBE) for a geometry-optimized LaCuRe2 structure.

Output
DOS at the Fermi energy, states/eV/atom: 0.713
V, Å³/f.u.: 72.4
VASP energy, eV per atom: -7.6308
Crystal system: orthorhombic

Geometry as CIF:
```
data_LaCuRe2
_cell_length_a 5.528
_cell_length_b 9.803
_cell_length_c 2.671
_cell_angle_alpha 90.00
_cell_angle_beta 90.00
_cell_angle_gamma 90.00
_symmetry_space_group_name_H-M 'C m m m'
_symmetry_Int_Tables_number 65
_symmetry_space_group_name_Hall '-C 2 2'
loop_
_atom_site_label
_atom_site_type_symbol
_atom_site_fract_x
_atom_site_fract_y
_atom_site_fract_z
_atom_site_occupancy
La1 La 0.000 0.000 0.000 1
Cu1 Cu 0.000 0.500 0.000 1
Re1 Re 0.250 0.250 0.500 1
```



12.
Density functional theory data (PBE) for a geometry-optimized BeB2H2 structure.

Output
DOS at the Fermi energy, states/eV/atom: 0.068
V, Å³/f.u.: 27.0
VASP energy, eV per atom: -3.8036
Crystal system: tetragonal

Geometry as CIF:
```
data_BeB2H2
_cell_length_a 5.201
_cell_length_b 5.201
_cell_length_c 1.998
_cell_angle_alpha 90.00
_cell_angle_beta 90.00
_cell_angle_gamma 90.00
_symmetry_space_group_name_H-M 'P 4/m b m'
_symmetry_Int_Tables_number 127
_symmetry_space_group_name_Hall '-P 4 2ab'
loop_
_atom_site_label
_atom_site_type_symbol
_atom_site_fract_x
_atom_site_fract_y
_atom_site_fract_z
_atom_site_occupancy
Be1 Be 0.000 0.000 0.000 1
B1 B 0.121 0.379 0.500 1
H1 H 0.120 0.620 0.000 1
```



13.
Density functional theory data (PBE) for a geometry-optimized NbIr5RuW2 structure.

Output
DOS at the Fermi energy, states/eV/atom: 1.111
V, Å³/f.u.: 150.1
VASP energy, eV per atom: -9.5234
Crystal system: tetragonal

Geometry as CIF:
```
data_NbIr5RuW2
_cell_length_a 7.459
_cell_length_b 7.459
_cell_length_c 10.790
_cell_angle_alpha 90.00
_cell_angle_beta 90.00
_cell_angle_gamma 90.00
_symmetry_space_group_name_H-M 'I 4/m c m'
_symmetry_Int_Tables_number 140
_symmetry_space_group_name_Hall '-I 4 2c'
loop_
_atom_site_label
_atom_site_type_symbol
_atom_site_fract_x
_atom_site_fract_y
_atom_site_fract_z
_atom_site_occupancy
Nb1 Nb 0.000 0.000 0.250 1
Ir1 Ir 0.000 0.000 0.000 1
Ir2 Ir 0.196 0.304 0.129 1
Ru1 Ru 0.000 0.500 0.250 1
W1 W 0.113 0.387 0.500 1
```



14.
Density functional theory data (PBE) for a geometry-optimized ZnInCl3 structure.

Output
DOS at the Fermi energy, states/eV/atom: 0.000
V, Å³/f.u.: 154.5
VASP energy, eV per atom: -2.9167
Energy relative to the elements, uncorrected, eV/atom: -1.006
Crystal system: triclinic

Geometry as CIF:
```
data_ZnInCl3
_cell_length_a 3.809
_cell_length_b 6.340
_cell_length_c 6.475
_cell_angle_alpha 98.97
_cell_angle_beta 90.31
_cell_angle_gamma 90.09
_symmetry_space_group_name_H-M 'P 1'
_symmetry_Int_Tables_number 1
_symmetry_space_group_name_Hall 'P 1'
loop_
_atom_site_label
_atom_site_type_symbol
_atom_site_fract_x
_atom_site_fract_y
_atom_site_fract_z
_atom_site_occupancy
Zn1 Zn 0.000 0.000 0.000 1
In1 In 0.496 0.424 0.625 1
Cl1 Cl 0.501 0.922 0.182 1
Cl2 Cl 0.998 0.803 0.675 1
Cl3 Cl 0.999 0.356 0.981 1
```



15.
Density functional theory data (PBE) for a geometry-optimized BaMg4Au2 structure.

Output
DOS at the Fermi energy, states/eV/atom: 0.417
V, Å³/f.u.: 170.9
VASP energy, eV per atom: -2.6263
Crystal system: tetragonal

Geometry as CIF:
```
data_BaMg4Au2
_cell_length_a 8.712
_cell_length_b 8.712
_cell_length_c 4.503
_cell_angle_alpha 90.00
_cell_angle_beta 90.00
_cell_angle_gamma 90.00
_symmetry_space_group_name_H-M 'P 42/m n m'
_symmetry_Int_Tables_number 136
_symmetry_space_group_name_Hall '-P 4n 2n'
loop_
_atom_site_label
_atom_site_type_symbol
_atom_site_fract_x
_atom_site_fract_y
_atom_site_fract_z
_atom_site_occupancy
Ba1 Ba 0.000 0.000 0.000 1
Mg1 Mg 0.086 0.340 0.500 1
Au1 Au 0.220 0.780 0.500 1
```



16.
Density functional theory data (PBE) for a geometry-optimized Rb3Na7Au4 structure.

Output
DOS at the Fermi energy, states/eV/atom: 0.417
V, Å³/f.u.: 460.4
VASP energy, eV per atom: -1.9979
Crystal system: monoclinic

Geometry as CIF:
```
data_Rb3Na7Au4
_cell_length_a 19.170
_cell_length_b 5.055
_cell_length_c 11.899
_cell_angle_alpha 90.00
_cell_angle_beta 127.01
_cell_angle_gamma 90.00
_symmetry_space_group_name_H-M 'C 1 2/m 1'
_symmetry_Int_Tables_number 12
_symmetry_space_group_name_Hall '-C 2y'
loop_
_atom_site_label
_atom_site_type_symbol
_atom_site_fract_x
_atom_site_fract_y
_atom_site_fract_z
_atom_site_occupancy
Rb1 Rb 0.000 0.000 0.000 1
Rb2 Rb 0.198 0.500 0.716 1
Na1 Na 0.000 0.000 0.500 1
Na2 Na 0.011 0.500 0.284 1
Na3 Na 0.169 0.000 0.424 1
Na4 Na 0.186 0.500 0.021 1
Au1 Au 0.111 0.000 0.829 1
Au2 Au 0.162 0.500 0.264 1
```



17.
Density functional theory data (PBE) for a geometry-optimized BaFeSb2 structure.

Output
DOS at the Fermi energy, states/eV/atom: 0.788
V, Å³/f.u.: 132.9
VASP energy, eV per atom: -4.7496
Energy relative to the elements, uncorrected, eV/atom: -0.092
Crystal system: tetragonal

Geometry as CIF:
```
data_BaFeSb2
_cell_length_a 5.814
_cell_length_b 5.814
_cell_length_c 15.722
_cell_angle_alpha 90.00
_cell_angle_beta 90.00
_cell_angle_gamma 90.00
_symmetry_space_group_name_H-M 'I -4 2 d'
_symmetry_Int_Tables_number 122
_symmetry_space_group_name_Hall 'I -4 2bw'
loop_
_atom_site_label
_atom_site_type_symbol
_atom_site_fract_x
_atom_site_fract_y
_atom_site_fract_z
_atom_site_occupancy
Ba1 Ba 0.000 0.000 0.000 1
Fe1 Fe 0.000 0.000 0.500 1
Sb1 Sb 0.051 0.250 0.625 1
```